# 1
This record from Alexandria via LeMat-Bulk describes a geometry-optimized La2Pr2Nd3 structure. The functional is PBE.

Calculated values
Space group: P-1
DOS(E_F), states/eV/atom: 1.817
Raw total energy, eV per cell: -67.2
Energy above the most stable polymorph in this dataset, kJ per mole of atoms: 0.0

Cell lengths 9.800, 6.415, 13.387 Å; angles 76.05, 89.99, 139.67 degrees
Atoms (fractional coordinates):
Nd1 0.000 0.000 0.500
Nd2 0.500 0.000 0.000
Nd3 0.001 0.287 0.929
Nd4 0.999 0.713 0.071
Nd5 0.500 0.143 0.714
Nd6 0.500 0.857 0.286
La1 0.500 0.571 0.858
La2 0.500 0.429 0.142
La3 0.000 0.572 0.357
La4 0.000 0.428 0.643
Pr1 0.001 0.145 0.214
Pr2 0.500 0.287 0.429
Pr3 0.500 0.713 0.571
Pr4 0.999 0.855 0.786

=====

# 2
This record from Alexandria via LeMat-Bulk describes a geometry-optimized La10Pr4Nd structure. The functional is PBE.

Calculated values
Space group: I4/mmm
DOS(E_F), states/eV/atom: 1.525
Raw total energy, eV per cell: -70.3

Cell lengths 8.103, 9.215, 9.215 Å; angles 78.86, 63.92, 63.92 degrees
Atoms (fractional coordinates):
La1 0.250 0.500 0.500
La2 0.922 0.785 0.785
La3 0.078 0.215 0.215
La4 0.492 0.215 0.215
La5 0.293 0.785 0.215
La6 0.707 0.785 0.215
La7 0.707 0.215 0.785
La8 0.750 0.500 0.500
La9 0.293 0.215 0.785
La10 0.508 0.785 0.785
Nd1 0.000 0.000 0.000
Pr1 0.224 0.000 0.551
Pr2 0.225 0.551 0.000
Pr3 0.775 0.449 0.000
Pr4 0.776 0.000 0.449

=====

# 3
This record from Alexandria via LeMat-Bulk describes a geometry-optimized LaPr5Nd3 structure. The functional is PBE.

Calculated values
Space group: C2/m
DOS(E_F), states/eV/atom: 1.599
Raw total energy, eV per cell: -77.0
Energy above the most stable polymorph in this dataset, kJ per mole of atoms: 25.8

Cell lengths 8.242, 8.242, 12.052 Å; angles 71.39, 71.39, 89.69 degrees
Atoms (fractional coordinates):
Pr1 0.742 0.258 0.000
Pr2 0.035 0.562 0.642
Pr3 0.438 0.965 0.358
Pr4 0.965 0.438 0.358
Pr5 0.692 0.692 0.095
Pr6 0.562 0.035 0.642
Pr7 0.470 0.470 0.382
Pr8 0.530 0.530 0.618
Pr9 0.308 0.308 0.905
Pr10 0.258 0.742 0.000
Nd1 0.209 0.209 0.653
Nd2 0.378 0.378 0.158
Nd3 0.622 0.622 0.842
Nd4 0.791 0.791 0.347
Nd5 0.000 0.000 0.000
Nd6 0.000 0.000 0.500
La1 0.088 0.088 0.206
La2 0.912 0.912 0.794

=====

# 4
This record from Alexandria via LeMat-Bulk describes a geometry-optimized La3Pr3Nd structure. The functional is PBE.

Calculated values
Space group: R-3
DOS(E_F), states/eV/atom: 1.615
Raw total energy, eV per cell: -65.0
Energy above the most stable polymorph in this dataset, kJ per mole of atoms: 15.9

Cell lengths 8.952, 8.952, 8.952 Å; angles 60.93, 60.93, 60.93 degrees
Atoms (fractional coordinates):
Pr1 0.941 0.271 0.434
Pr2 0.059 0.729 0.566
Pr3 0.566 0.059 0.729
Pr4 0.271 0.434 0.941
Pr5 0.434 0.941 0.271
Pr6 0.729 0.566 0.059
Nd1 0.358 0.358 0.358
Nd2 0.642 0.642 0.642
La1 0.807 0.061 0.299
La2 0.061 0.299 0.807
La3 0.299 0.807 0.061
La4 0.701 0.193 0.939
La5 0.193 0.939 0.701
La6 0.939 0.701 0.193

=====

# 5
This record from Alexandria via LeMat-Bulk describes a geometry-optimized La4Pr6Nd structure. The functional is PBE.

Calculated values
Space group: I-42m
DOS(E_F), states/eV/atom: 1.588
Raw total energy, eV per cell: -50.3
Energy above the most stable polymorph in this dataset, kJ per mole of atoms: 1.8

Cell lengths 9.774, 9.774, 9.774 Å; angles 60.75, 138.10, 138.10 degrees
Atoms (fractional coordinates):
Pr1 0.000 0.782 0.449
Pr2 0.000 0.449 0.782
Pr3 0.500 0.500 0.000
Pr4 0.332 0.551 0.551
Pr5 0.500 0.000 0.500
Pr6 0.668 0.218 0.218
La1 0.628 0.995 0.995
La2 0.000 0.633 0.005
La3 0.000 0.005 0.633
La4 0.372 0.367 0.367
Nd1 0.000 0.000 0.000

=====

# 6
This record from Alexandria via LeMat-Bulk describes a geometry-optimized La16Pr6Nd7 structure. The functional is PBE.

Calculated values
Space group: Fm-3m
DOS(E_F), states/eV/atom: 1.720
Raw total energy, eV per cell: -135.8

Cell lengths 11.488, 11.488, 11.488 Å; angles 60.00, 60.00, 60.00 degrees
Atoms (fractional coordinates):
La1 0.636 0.121 0.121
La2 0.656 0.656 0.656
La3 0.344 0.968 0.344
La4 0.879 0.364 0.879
La5 0.879 0.879 0.879
La6 0.364 0.879 0.879
La7 0.121 0.636 0.121
La8 0.344 0.344 0.968
La9 0.121 0.121 0.121
La10 0.344 0.344 0.344
La11 0.656 0.656 0.032
La12 0.656 0.032 0.656
La13 0.121 0.121 0.636
La14 0.032 0.656 0.656
La15 0.968 0.344 0.344
La16 0.879 0.879 0.364
Nd1 0.000 0.500 0.500
Nd2 0.000 0.000 0.000
Nd3 0.500 0.000 0.000
Nd4 0.500 0.000 0.500
Nd5 0.000 0.000 0.500
Nd6 0.500 0.500 0.000
Nd7 0.000 0.500 0.000
Pr1 0.296 0.704 0.704
Pr2 0.704 0.296 0.296
Pr3 0.296 0.296 0.704
Pr4 0.704 0.296 0.704
Pr5 0.296 0.704 0.296
Pr6 0.704 0.704 0.296

=====

# 7
This record from Alexandria via LeMat-Bulk describes a geometry-optimized La12Pr7Nd structure. The functional is PBE.

Calculated values
Space group: R-3
DOS(E_F), states/eV/atom: 1.957
Raw total energy, eV per cell: -94.0
Energy above the most stable polymorph in this dataset, kJ per mole of atoms: 0.0

Cell lengths 9.005, 9.005, 9.005 Å; angles 89.40, 89.40, 89.40 degrees
Atoms (fractional coordinates):
La1 0.719 0.858 0.259
La2 0.610 0.142 0.488
La3 0.259 0.719 0.858
La4 0.142 0.488 0.610
La5 0.512 0.390 0.858
La6 0.281 0.142 0.741
La7 0.858 0.259 0.719
La8 0.390 0.858 0.512
La9 0.488 0.610 0.142
La10 0.741 0.281 0.142
La11 0.142 0.741 0.281
La12 0.858 0.512 0.390
Pr1 0.856 0.615 0.930
Pr2 0.385 0.070 0.144
Pr3 0.500 0.500 0.500
Pr4 0.070 0.144 0.385
Pr5 0.930 0.856 0.615
Pr6 0.615 0.930 0.856
Pr7 0.144 0.385 0.070
Nd1 0.000 0.000 0.000

=====

# 8
This record from Alexandria via LeMat-Bulk describes a geometry-optimized La3Pr3Nd structure. The functional is PBE.

Calculated values
Space group: P6_3/m
DOS(E_F), states/eV/atom: 1.771
Raw total energy, eV per cell: -67.3
Energy above the most stable polymorph in this dataset, kJ per mole of atoms: 0.0

Cell lengths 6.032, 9.951, 9.951 Å; angles 120.00, 90.00, 90.00 degrees
Atoms (fractional coordinates):
La1 0.250 0.808 0.047
La2 0.250 0.953 0.760
La3 0.750 0.760 0.808
La4 0.750 0.192 0.953
La5 0.250 0.240 0.192
La6 0.750 0.047 0.240
Nd1 0.750 0.333 0.667
Nd2 0.250 0.667 0.333
Pr1 0.250 0.522 0.617
Pr2 0.750 0.905 0.522
Pr3 0.750 0.478 0.383
Pr4 0.250 0.095 0.478
Pr5 0.750 0.617 0.095
Pr6 0.250 0.383 0.905

=====

# 9
This record from Alexandria via LeMat-Bulk describes a geometry-optimized La4Pr3Nd4 structure. The functional is PBE.

Calculated values
Space group: Immm
DOS(E_F), states/eV/atom: 1.476
Raw total energy, eV per cell: -51.8
Energy above the most stable polymorph in this dataset, kJ per mole of atoms: 0.0

Cell lengths 3.671, 9.732, 12.562 Å; angles 112.79, 98.40, 90.00 degrees
Atoms (fractional coordinates):
Nd1 0.263 0.763 0.525
Nd2 0.500 0.187 0.000
Nd3 0.500 0.813 0.000
Nd4 0.737 0.237 0.475
Pr1 0.893 0.893 0.786
Pr2 0.000 0.500 0.000
Pr3 0.107 0.107 0.214
La1 0.354 0.526 0.709
La2 0.354 0.183 0.709
La3 0.646 0.817 0.291
La4 0.646 0.474 0.291

=====

# 10
This record from Alexandria via LeMat-Bulk describes a geometry-optimized La3PrNd8 structure. The functional is PBE.

Calculated values
Space group: I222
DOS(E_F), states/eV/atom: 1.543
Raw total energy, eV per cell: -54.7

Cell lengths 9.235, 9.235, 9.235 Å; angles 74.51, 121.32, 138.35 degrees
Atoms (fractional coordinates):
Nd1 0.537 0.273 0.070
Nd2 0.797 0.727 0.264
Nd3 0.304 0.370 0.362
Nd4 0.008 0.942 0.638
Nd5 0.992 0.630 0.934
Nd6 0.696 0.058 0.066
Nd7 0.203 0.467 0.930
Nd8 0.463 0.533 0.736
La1 0.500 0.883 0.383
La2 0.000 0.500 0.500
La3 0.500 0.117 0.617
Pr1 0.000 0.000 0.000

=====

# 11
This record from Alexandria via LeMat-Bulk describes a geometry-optimized La4PrNd2 structure. The functional is PBE.

Calculated values
Space group: P2/m
DOS(E_F), states/eV/atom: 1.508
Raw total energy, eV per cell: -65.8
Energy above the most stable polymorph in this dataset, kJ per mole of atoms: 0.0

Cell lengths 7.313, 7.129, 10.639 Å; angles 90.00, 90.00, 108.65 degrees
Atoms (fractional coordinates):
Pr1 0.000 0.500 0.000
Pr2 0.500 0.500 0.000
Nd1 0.000 0.000 0.500
Nd2 0.000 0.500 0.500
Nd3 0.000 0.000 0.000
Nd4 0.500 0.000 0.500
La1 0.727 0.693 0.711
La2 0.274 0.307 0.711
La3 0.272 0.807 0.213
La4 0.728 0.193 0.787
La5 0.273 0.808 0.788
La6 0.273 0.307 0.289
La7 0.726 0.693 0.289
La8 0.727 0.192 0.212

=====

# 12
This record from Alexandria via LeMat-Bulk describes a geometry-optimized LaPr6Nd2 structure. The functional is PBE.

Calculated values
Space group: Cmmm
DOS(E_F), states/eV/atom: 1.474
Raw total energy, eV per cell: -42.7
Energy above the most stable polymorph in this dataset, kJ per mole of atoms: 0.0

Cell lengths 3.607, 12.496, 12.496 Å; angles 47.95, 54.72, 54.72 degrees
Atoms (fractional coordinates):
La1 0.000 0.000 0.000
Pr1 0.500 0.333 0.667
Pr2 0.500 0.667 0.333
Pr3 0.831 0.999 0.335
Pr4 0.169 0.001 0.665
Pr5 0.831 0.335 0.999
Pr6 0.169 0.665 0.001
Nd1 0.334 0.667 0.667
Nd2 0.666 0.333 0.333

=====

# 13
This record from Alexandria via LeMat-Bulk describes a geometry-optimized LaPr4Nd15 structure. The functional is PBE.

Calculated values
Space group: P4/mmm
DOS(E_F), states/eV/atom: 1.533
Raw total energy, eV per cell: -95.3

Cell lengths 5.231, 5.231, 26.073 Å; angles 90.00, 90.00, 90.00 degrees
Atoms (fractional coordinates):
Nd1 0.500 0.500 0.800
Nd2 0.500 0.500 0.600
Nd3 0.000 0.500 0.900
Nd4 0.500 0.000 0.300
Nd5 0.500 0.500 0.000
Nd6 0.000 0.500 0.300
Nd7 0.500 0.000 0.100
Nd8 0.000 0.500 0.100
Nd9 0.500 0.000 0.900
Nd10 0.500 0.500 0.200
Nd11 0.500 0.000 0.700
Nd12 0.500 0.500 0.400
Nd13 0.000 0.500 0.700
Nd14 0.000 0.500 0.500
Nd15 0.500 0.000 0.500
La1 0.000 0.000 0.000
Pr1 0.000 0.000 0.200
Pr2 0.000 0.000 0.600
Pr3 0.000 0.000 0.800
Pr4 0.000 0.000 0.400

=====

# 14
This record from Alexandria via LeMat-Bulk describes a geometry-optimized La2Pr2Nd structure. The functional is PBE.

Calculated values
Space group: C2/c
DOS(E_F), states/eV/atom: 1.280
Raw total energy, eV per cell: -47.4
Energy above the most stable polymorph in this dataset, kJ per mole of atoms: 0.0

Cell lengths 6.475, 6.475, 9.823 Å; angles 111.41, 99.76, 100.90 degrees
Atoms (fractional coordinates):
La1 0.219 0.807 0.353
La2 0.546 0.633 0.853
La3 0.454 0.367 0.147
La4 0.781 0.193 0.647
Pr1 0.773 0.621 0.521
Pr2 0.900 0.248 0.021
Pr3 0.100 0.752 0.979
Pr4 0.227 0.379 0.479
Nd1 0.722 0.972 0.250
Nd2 0.278 0.028 0.750

=====

# 15
This record from Alexandria via LeMat-Bulk describes a geometry-optimized La3Pr4Nd3 structure. The functional is PBE.

Calculated values
Space group: Amm2
DOS(E_F), states/eV/atom: 1.377
Raw total energy, eV per cell: -47.3

Cell lengths 3.875, 9.789, 9.789 Å; angles 89.77, 90.00, 90.00 degrees
Atoms (fractional coordinates):
Pr1 0.000 0.373 0.627
Pr2 0.000 0.127 0.129
Pr3 0.000 0.628 0.372
Pr4 0.000 0.871 0.873
Nd1 0.500 0.671 0.671
Nd2 0.500 0.829 0.171
Nd3 0.500 0.329 0.329
La1 0.000 0.502 0.002
La2 0.000 0.998 0.498
La3 0.500 0.171 0.829

=====

# 16
This record from Alexandria via LeMat-Bulk describes a geometry-optimized LaPr12Nd6 structure. The functional is PBE.

Calculated values
Space group: R-3
DOS(E_F), states/eV/atom: 1.544
Raw total energy, eV per cell: -88.6
Energy above the most stable polymorph in this dataset, kJ per mole of atoms: 0.0

Cell lengths 8.854, 8.854, 8.854 Å; angles 89.16, 89.16, 89.16 degrees
Atoms (fractional coordinates):
Nd1 0.096 0.698 0.261
Nd2 0.698 0.261 0.096
Nd3 0.261 0.096 0.698
Nd4 0.739 0.904 0.302
Nd5 0.904 0.302 0.739
Nd6 0.302 0.739 0.904
Pr1 0.018 0.194 0.361
Pr2 0.982 0.806 0.639
Pr3 0.465 0.566 0.220
Pr4 0.434 0.780 0.535
Pr5 0.806 0.639 0.982
Pr6 0.639 0.982 0.806
Pr7 0.220 0.465 0.566
Pr8 0.535 0.434 0.780
Pr9 0.361 0.018 0.194
Pr10 0.780 0.535 0.434
Pr11 0.194 0.361 0.018
Pr12 0.566 0.220 0.465
La1 0.000 0.000 0.000

=====

# 17
This record from Alexandria via LeMat-Bulk describes a geometry-optimized LaPr2Nd7 structure. The functional is PBE.

Calculated values
Space group: Cmmm
DOS(E_F), states/eV/atom: 1.500
Raw total energy, eV per cell: -41.8
Energy above the most stable polymorph in this dataset, kJ per mole of atoms: 51.0

Cell lengths 5.651, 9.469, 9.469 Å; angles 123.77, 90.00, 90.00 degrees
Atoms (fractional coordinates):
Nd1 0.500 0.066 0.295
Nd2 0.500 0.500 0.500
Nd3 0.000 0.226 0.774
Nd4 0.000 0.774 0.226
Nd5 0.500 0.705 0.934
Nd6 0.500 0.295 0.066
Nd7 0.500 0.934 0.705
Pr1 0.500 0.297 0.703
Pr2 0.500 0.703 0.297
La1 0.000 0.000 0.000

=====

# 18
This record from Alexandria via LeMat-Bulk describes a geometry-optimized LaPr5Nd12 structure. The functional is PBE.

Calculated values
Space group: C2/m
DOS(E_F), states/eV/atom: 1.583
Raw total energy, eV per cell: -85.8

Cell lengths 11.105, 11.099, 6.405 Å; angles 106.66, 90.01, 59.99 degrees
Atoms (fractional coordinates):
Pr1 0.167 0.666 0.500
Pr2 0.500 0.000 0.500
Pr3 0.333 0.334 0.000
Pr4 0.667 0.666 0.000
Pr5 0.833 0.334 0.500
La1 0.000 0.000 0.000
Nd1 0.666 0.334 0.001
Nd2 0.834 0.667 0.501
Nd3 0.334 0.666 0.999
Nd4 0.500 0.333 0.499
Nd5 0.500 0.667 0.501
Nd6 0.833 0.000 0.500
Nd7 0.667 0.000 0.000
Nd8 0.000 0.334 0.000
Nd9 0.166 0.333 0.499
Nd10 0.167 0.000 0.500
Nd11 0.333 0.000 0.000
Nd12 0.000 0.666 0.000

=====

For the records above, the corresponding ΔH_f (0 K) values read 0.014 0.187 0.512 0.198 0.259 0.175 0.169 0.033 0.119 0.248 0.158 0.045 0.013 0.095 0.093 0.119 0.603 0.014 eV/atom.
For the records above, the corresponding calculated density values read 6.5 6.3 5.8 6.3 6.2 6.3 6.4 6.3 6.3 6.5 6.2 6.5 6.7 6.4 6.3 6.4 5.6 6.6 g cm⁻³.